No. 1
Computed, not measured: crystalline Tb6CeY3Tm2 at its relaxed geometry at the GGA-PBE level of DFT.

Unit cell a=6.1491 b=6.1491 c=11.7769 alpha=94.99 beta=94.99 gamma=119.97
Site moments in Bohr magnetons follow the coordinates.
Positions (direct):
Tb 0.9172 0.5856 0.7520  0.02
Tb 0.7510 0.7510 0.2481  0.02
Tb 0.0828 0.4144 0.2480  0.02
Tb 0.5856 0.9172 0.7520  0.02
Tb 0.2490 0.2490 0.7519  0.02
Tb 0.4144 0.0828 0.2480  0.02
Ce 0.0000 0.0000 0.0000  0.79
Y 0.1674 0.8326 0.5000  -0.01
Y 0.8326 0.1674 0.5000  -0.01
Y 0.5000 0.5000 0.5000  -0.01
Tm 0.3334 0.6666 0.0000  0.07
Tm 0.6666 0.3334 0.0000  0.07

Results
- Final energy: -5.13 eV/atom
- Space-group type: C2/m (12)
- Density of states at the Fermi level: 19.88 states/eV/cell
- Density: 7.4 Mg/m³
- Volume: 379.87 Å³/cell
- Total magnetic moment: 1.23 μB per cell

---

No. 2
Computed, not measured: crystalline BaZn2Ag3 at its relaxed geometry at the GGA-PBE level of DFT.

Unit cell a=5.4779 b=7.1400 c=7.1400 alpha=102.04 beta=90.00 gamma=90.00
Positions (direct):
Ba 0.2500 0.3212 0.3212
Ba 0.7500 0.6788 0.6788
Zn 0.5000 0.7893 0.2107
Zn 0.0000 0.7893 0.2107
Zn 0.0000 0.2107 0.7893
Zn 0.5000 0.2107 0.7893
Ag 0.7500 0.4659 0.0771
Ag 0.7500 0.0771 0.4659
Ag 0.2500 0.5341 0.9229
Ag 0.7500 0.0647 0.0647
Ag 0.2500 0.9353 0.9353
Ag 0.2500 0.9229 0.5341

Results
- Final energy: -2.38 eV/atom
- Space-group type: Cmcm (63)
- Density of states at the Fermi level: 3.38 states/eV/cell
- Density: 7.2 Mg/m³
- Volume: 273.12 Å³/cell
- Total magnetic moment: 0.00 μB per cell

---

No. 3
Computed, not measured: crystalline Pm2TmIn at its relaxed geometry at the GGA-PBE level of DFT.

Unit cell a=3.6054 b=3.6054 c=9.4623 alpha=90.00 beta=90.00 gamma=90.00
Positions (direct):
Tm 0.5000 0.5000 0.5000
In 0.5000 0.5000 0.0000
Pm 0.0000 0.0000 0.7702
Pm 0.0000 0.0000 0.2298

Results
- Final energy: -4.38 eV/atom
- Space-group type: P4/mmm (123)
- Density of states at the Fermi level: 5.61 states/eV/cell
- Energy above the lowest structure with this stoichiometry: 0.066 eV per atom
- Density: 7.7 Mg/m³
- Volume: 123.00 Å³/cell
- Total magnetic moment: 0.00 μB per cell

---

No. 4
Computed, not measured: crystalline PaBi2Rh at its relaxed geometry at the GGA-PBE level of DFT.

Unit cell a=4.6087 b=4.6087 c=9.8573 alpha=103.52 beta=103.52 gamma=90.00
Positions (direct):
Pa 0.1439 0.1439 0.2877
Pa 0.8561 0.8561 0.7123
Bi 0.0000 0.5000 0.0000
Bi 0.5000 0.0000 0.0000
Bi 0.3437 0.3437 0.6874
Bi 0.6563 0.6563 0.3126
Rh 0.2500 0.7500 0.5000
Rh 0.7500 0.2500 0.5000

Results
- Final energy: -6.50 eV/atom
- Space-group type: I4/mmm (139)
- Density of states at the Fermi level: 7.78 states/eV/cell
- Density: 12.6 Mg/m³
- Volume: 197.59 Å³/cell
- Total magnetic moment: 0.00 μB per cell

---

No. 5
Computed, not measured: crystalline HfAlAu at its relaxed geometry at the GGA-PBE level of DFT.

Unit cell a=4.0264 b=4.1890 c=7.8898 alpha=105.39 beta=120.68 gamma=90.00
Positions (direct):
Hf 0.3674 0.4178 0.4524
Hf 0.7214 0.0946 0.8063
Au 0.8495 0.9092 0.4344
Au 0.2394 0.6032 0.8243
Al 0.5444 0.2563 0.1293
Al 0.0444 0.7563 0.1293

Results
- Final energy: -6.10 eV/atom
- Space-group type: Cmmm (65)
- Density of states at the Fermi level: 4.32 states/eV/cell
- Density: 12.3 Mg/m³
- Volume: 108.86 Å³/cell
- Total magnetic moment: 0.00 μB per cell

---

No. 6
Computed, not measured: crystalline La2CdAg3 at its relaxed geometry at the GGA-PBE level of DFT.

Unit cell a=4.2165 b=4.2360 c=9.5609 alpha=102.80 beta=102.74 gamma=90.00
Positions (direct):
La 0.1291 0.1291 0.2582
La 0.8639 0.3639 0.7278
Cd 0.4555 0.9555 0.9109
Ag 0.7027 0.7027 0.4055
Ag 0.5507 0.5507 0.1014
Ag 0.2981 0.7981 0.5962

Results
- Final energy: -3.46 eV/atom
- Space-group type: Imm2 (44)
- Density of states at the Fermi level: 3.66 states/eV/cell
- Energy above the lowest structure with this stoichiometry: 0.065 eV per atom
- Density: 7.3 Mg/m³
- Volume: 162.21 Å³/cell
- Total magnetic moment: 0.00 μB per cell

---

No. 7
Computed, not measured: crystalline CaCO3 at its relaxed geometry at the GGA-PBE level of DFT.

Unit cell a=4.3805 b=4.3805 c=4.3805 alpha=90.00 beta=90.00 gamma=90.00
Site moments in Bohr magnetons follow the coordinates.
Positions (direct):
Ca 0.0000 0.0000 0.0000  -0.03
C 0.5000 0.5000 0.5000  -0.78
O 0.0000 0.5000 0.0000  0.97
O 0.0000 0.0000 0.5000  1.07
O 0.5000 0.0000 0.0000  0.85

Results
- Final energy: -4.07 eV/atom
- Space-group type: Pm-3m (221)
- Density of states at the Fermi level: 3.61 states/eV/cell
- ΔE_f (raw): 1.15 eV/atom
- Density: 2.0 Mg/m³
- Volume: 84.05 Å³/cell
- Total magnetic moment: 2.00 μB per cell